# PuUGe

An optimized crystal structure of PuUGe (PBE, the Alexandria database).

The formation enthalpy at 0 K comes out at -24 meV/atom. The total energy comes out at -121.2 eV/cell. Its density of states at the Fermi level is 30.60 states/eV/cell. Its crystal system is tetragonal.

Cell: 4.9257 7.9208 7.9208 Å, 84.45 71.88 71.88°
Positions (direct):
Pu 0.1575 0.6851 0.0000
Pu 0.8425 0.3149 0.0000
Pu 0.8425 0.0000 0.3149
Pu 0.1575 0.0000 0.6851
U 0.6188 0.3812 0.3812
U 0.3812 0.6188 0.6188
U 0.0000 0.3812 0.6188
U 0.0000 0.6188 0.3812
Ge 0.2700 0.2300 0.2300
Ge 0.7300 0.7700 0.7700
Ge 0.5000 0.2300 0.7700
Ge 0.5000 0.7700 0.2300

=====

# Pu4U2Ge3

An optimized crystal structure of Pu4U2Ge3 (PBE, the Alexandria database).

The formation enthalpy at 0 K comes out at -17 meV/atom. The total energy comes out at -187.8 eV/cell. Its density of states at the Fermi level is 38.09 states/eV/cell. Its crystal system is monoclinic.

Cell: 5.2808 9.4987 9.4987 Å, 110.94 81.35 81.35°
Positions (direct):
Pu 0.4028 0.8900 0.3079
Pu 0.0972 0.6921 0.1100
Pu 0.5972 0.1100 0.6921
Pu 0.9028 0.3079 0.8900
Pu 0.1495 0.2997 0.3366
Pu 0.3505 0.6634 0.7003
Pu 0.8505 0.7003 0.6634
Pu 0.6495 0.3366 0.2997
U 0.2814 0.1691 0.5180
U 0.2186 0.4820 0.8309
U 0.7186 0.8309 0.4820
U 0.7814 0.5180 0.1691
Ge 0.8686 0.0391 0.3236
Ge 0.6314 0.6764 0.9609
Ge 0.1314 0.9609 0.6764
Ge 0.3686 0.3236 0.0391
Ge 0.2500 0.6238 0.3762
Ge 0.7500 0.3762 0.6238

=====

# Pu5UGe6

An optimized crystal structure of Pu5UGe6 (PBE, the Alexandria database).

The formation enthalpy at 0 K comes out at -376 meV/atom. The total energy comes out at -115.2 eV/cell. Its density of states at the Fermi level is 36.64 states/eV/cell. Its crystal system is orthorhombic.

Cell: 5.4443 9.0562 9.0562 Å, 128.15 107.50 107.50°
Positions (direct):
Ge 0.2403 0.0742 0.4065
Ge 0.7597 0.5935 0.9258
Ge 0.7399 0.2398 0.2398
Ge 0.2601 0.7602 0.7602
Ge 0.2403 0.4065 0.0742
Ge 0.7597 0.9258 0.5935
U 0.0000 0.0000 0.0000
Pu 0.5000 0.1720 0.8280
Pu 0.0000 0.3366 0.6634
Pu 0.5000 0.5000 0.5000
Pu 0.0000 0.6634 0.3366
Pu 0.5000 0.8280 0.1720

=====

# PuUGe

An optimized crystal structure of PuUGe (PBE, the Alexandria database).

The formation enthalpy at 0 K comes out at -42 meV/atom. The total energy comes out at -60.7 eV/cell. Its density of states at the Fermi level is 15.48 states/eV/cell. Its crystal system is orthorhombic.

Cell: 4.6335 5.6823 5.6823 Å, 97.08 65.94 65.94°
Positions (direct):
U 0.0000 0.8250 0.1750
U 0.0000 0.1750 0.8250
Pu 0.5000 0.6796 0.3204
Pu 0.5000 0.3204 0.6796
Ge 0.7511 0.7489 0.7489
Ge 0.2489 0.2511 0.2511

=====

Question: Among the records above, which one has the highest formation enthalpy at 0 K?
Answer: Pu4U2Ge3